No. 1
This record from Alexandria describes a relaxed structure of K2BaMn. The functional is GGA-PBE.

a = 7.6125 Å, b = 7.6125 Å, c = 4.1223 Å
α = 90.00°, β = 90.00°, γ = 121.33°
Each line ends with the local moment (μB).
Fractional positions:
Ba 0.0000 0.5000 0.5000  -0.11
K 0.0000 0.0000 0.0000  -0.01
K 0.5000 0.5000 0.0000  -0.01
Mn 0.5000 0.0000 0.5000  4.29

Symmetry   Cmmm, No. 65
Crystal system   orthorhombic
Magnetic moment   4.14 μB/f.u.
Total DFT energy (no corrections)   -2.612 eV per atom
DOS(E_F)   4.240 states/eV/f.u.
Formation energy from the elements   2.8 eV per formula unit
Energy above the most stable polymorph in this dataset   229 meV per atom


No. 2
This record from Alexandria describes a relaxed structure of ZnGaPd3. The functional is GGA-PBE.

a = 4.2839 Å, b = 5.3104 Å, c = 7.4595 Å
α = 118.67°, β = 90.00°, γ = 90.00°
Fractional positions:
Zn 0.2500 0.2016 0.1483
Zn 0.7500 0.7984 0.8517
Ga 0.2500 0.7802 0.3397
Ga 0.7500 0.2198 0.6603
Pd 0.7500 0.6465 0.4635
Pd 0.2500 0.3535 0.5365
Pd 0.7500 0.3576 0.0348
Pd 0.2500 0.9985 0.7427
Pd 0.2500 0.6424 0.9652
Pd 0.7500 0.0015 0.2573

Symmetry   P2_1/m, No. 11
Crystal system   monoclinic
Magnetic moment   0.00 μB/f.u.
Total DFT energy (no corrections)   -4.499 eV per atom
DOS(E_F)   2.223 states/eV/f.u.
Formation energy from the elements   -2.6 eV per formula unit
Energy above the most stable polymorph in this dataset   0 meV per atom


No. 3
This record from Alexandria describes a relaxed structure of ZnCu2Rh. The functional is GGA-PBE.

a = 8.5308 Å, b = 8.5308 Å, c = 8.5308 Å
α = 18.20°, β = 18.20°, γ = 18.20°
Each line ends with the local moment (μB).
Fractional positions:
Cu 0.9990 0.9990 0.9990  0.01
Cu 0.2524 0.2524 0.2524  0.01
Rh 0.5004 0.5004 0.5004  0.35
Zn 0.7482 0.7482 0.7482  0.00

Symmetry   R3m, No. 160
Crystal system   trigonal
Magnetic moment   0.37 μB/f.u.
Total DFT energy (no corrections)   -4.251 eV per atom
DOS(E_F)   3.640 states/eV/f.u.
Formation energy from the elements   -0.2 eV per formula unit


No. 4
This record from Alexandria describes a relaxed structure of Sc2AlAg. The functional is GGA-PBE.

a = 3.3904 Å, b = 4.8650 Å, c = 4.8650 Å
α = 90.00°, β = 90.00°, γ = 90.00°
Fractional positions:
Sc 0.0000 0.0000 0.5000
Sc 0.0000 0.5000 0.0000
Al 0.5000 0.5000 0.5000
Ag 0.5000 0.0000 0.0000

Symmetry   P4/mmm, No. 123
Crystal system   tetragonal
Magnetic moment   0.00 μB/f.u.
Total DFT energy (no corrections)   -5.171 eV per atom
DOS(E_F)   3.441 states/eV/f.u.
Formation energy from the elements   -1.4 eV per formula unit


No. 5
This record from Alexandria describes a relaxed structure of YGeI3. The functional is GGA-PBE.

a = 5.7489 Å, b = 5.7489 Å, c = 5.7489 Å
α = 90.00°, β = 90.00°, γ = 90.00°
Each line ends with the local moment (μB).
Fractional positions:
I 0.0000 0.5000 0.0000  -0.01
I 0.0000 0.0000 0.5000  0.00
I 0.5000 0.0000 0.0000  0.02
Y 0.5000 0.5000 0.5000  0.70
Ge 0.0000 0.0000 0.0000  0.14

Symmetry   Pm-3m, No. 221
Crystal system   cubic
Formation energy from raw total energies   0.0534 eV/atom
Magnetic moment   1.77 μB/f.u.
Total DFT energy (no corrections)   -3.093 eV per atom
DOS(E_F)   7.637 states/eV/f.u.
Energy above the most stable polymorph in this dataset   386 meV per atom


No. 6
This record from Alexandria describes a relaxed structure of La5PrDy3. The functional is GGA-PBE.

a = 8.8089 Å, b = 8.8089 Å, c = 10.3347 Å
α = 115.23°, β = 115.23°, γ = 90.00°
Fractional positions:
La 0.0565 0.5565 0.7209
La 0.6644 0.1645 0.7209
La 0.1645 0.0565 0.7209
La 0.5565 0.6644 0.7209
La 0.9435 0.4435 0.2791
La 0.3356 0.8356 0.2791
La 0.8356 0.9435 0.2791
La 0.4435 0.3356 0.2791
La 0.5000 0.5000 0.0000
La 0.0000 0.0000 0.0000
Pr 0.7500 0.2500 0.5000
Pr 0.2500 0.7500 0.5000
Dy 0.6210 0.1210 0.0000
Dy 0.3790 0.8790 0.0000
Dy 0.8790 0.6210 0.0000
Dy 0.1210 0.3790 0.0000
Dy 0.2500 0.2500 0.5000
Dy 0.7500 0.7500 0.5000

Symmetry   I4/mcm, No. 140
Crystal system   tetragonal
Magnetic moment   0.00 μB/f.u.
Total DFT energy (no corrections)   -4.541 eV per atom
DOS(E_F)   16.902 states/eV/f.u.
Formation energy from the elements   2.4 eV per formula unit
Energy above the most stable polymorph in this dataset   21 meV per atom


No. 7
This record from Alexandria describes a relaxed structure of Hf2BeFe3. The functional is GGA-PBE.

a = 4.8956 Å, b = 4.8956 Å, c = 4.8174 Å
α = 89.97°, β = 120.55°, γ = 120.03°
Each line ends with the local moment (μB).
Fractional positions:
Hf 0.7502 0.3752 0.1254  -0.36
Hf 0.2498 0.6248 0.8746  -0.36
Be 0.0000 0.0000 0.0000  -0.06
Fe 0.5000 0.5000 0.5000  1.42
Fe 0.0000 0.0000 0.5000  1.42
Fe 0.5000 0.0000 0.5000  1.41

Symmetry   R-3m, No. 166
Crystal system   trigonal
Magnetic moment   3.22 μB/f.u.
Total DFT energy (no corrections)   -8.482 eV per atom
DOS(E_F)   4.699 states/eV/f.u.
Formation energy from the elements   -1.9 eV per formula unit


No. 8
This record from Alexandria describes a relaxed structure of LiFePt. The functional is GGA-PBE.

a = 4.5427 Å, b = 4.5427 Å, c = 4.5427 Å
α = 145.46°, β = 129.67°, γ = 62.47°
Each line ends with the local moment (μB).
Fractional positions:
Fe 0.0040 0.0040 0.0000  2.97
Li 0.3304 0.3304 0.0000  -0.04
Pt 0.6656 0.6656 0.0000  0.31

Symmetry   Imm2, No. 44
Crystal system   orthorhombic
Magnetic moment   3.24 μB/f.u.
Total DFT energy (no corrections)   -5.704 eV per atom
DOS(E_F)   2.117 states/eV/f.u.
Formation energy from the elements   -0.7 eV per formula unit


No. 9
This record from Alexandria describes a relaxed structure of PmThP2. The functional is GGA-PBE.

a = 4.1197 Å, b = 4.1197 Å, c = 13.6279 Å
α = 90.00°, β = 90.00°, γ = 120.00°
Fractional positions:
Pm 0.6667 0.3333 0.2500
Pm 0.3333 0.6667 0.7500
Th 0.0000 0.0000 0.5000
Th 0.0000 0.0000 0.0000
P 0.3333 0.6667 0.3776
P 0.6667 0.3333 0.8776
P 0.6667 0.3333 0.6224
P 0.3333 0.6667 0.1224

Symmetry   P6_3/mmc, No. 194
Crystal system   hexagonal
Magnetic moment   0.00 μB/f.u.
Total DFT energy (no corrections)   -7.285 eV per atom
DOS(E_F)   2.177 states/eV/f.u.
Formation energy from the elements   -6.2 eV per formula unit
Energy above the most stable polymorph in this dataset   39 meV per atom


No. 10
This record from Alexandria describes a relaxed structure of RbIrIO2. The functional is GGA-PBE.

a = 4.2244 Å, b = 4.2244 Å, c = 7.3819 Å
α = 90.00°, β = 90.00°, γ = 90.00°
Each line ends with the local moment (μB).
Fractional positions:
I 0.0000 0.0000 0.5000  0.06
Ir 0.5000 0.5000 0.5000  1.46
O 0.0000 0.5000 0.0000  0.45
O 0.5000 0.0000 0.0000  0.45
Rb 0.0000 0.0000 0.0000  0.07

Symmetry   P4/mmm, No. 123
Crystal system   tetragonal
Formation energy from raw total energies   1.4274 eV/atom
Magnetic moment   2.84 μB/f.u.
Total DFT energy (no corrections)   -2.832 eV per atom
DOS(E_F)   3.775 states/eV/f.u.
Energy above the most stable polymorph in this dataset   1604 meV per atom


No. 11
This record from Alexandria describes a relaxed structure of Ba4Na2As. The functional is GGA-PBE.

a = 6.4148 Å, b = 6.4148 Å, c = 10.6554 Å
α = 72.48°, β = 72.48°, γ = 90.00°
Fractional positions:
Na 0.6303 0.6303 0.7393
Na 0.3697 0.3697 0.2607
As 0.0000 0.0000 0.0000
Ba 0.8309 0.8309 0.3382
Ba 0.1691 0.1691 0.6618
Ba 0.0000 0.5000 0.0000
Ba 0.5000 0.0000 0.0000

Symmetry   I4/mmm, No. 139
Crystal system   tetragonal
Magnetic moment   0.00 μB/f.u.
Total DFT energy (no corrections)   -2.435 eV per atom
DOS(E_F)   7.082 states/eV/f.u.
Formation energy from the elements   -2.1 eV per formula unit
Energy above the most stable polymorph in this dataset   46 meV per atom


No. 12
This record from Alexandria describes a relaxed structure of CsLiGeI4. The functional is GGA-PBE.

a = 10.7974 Å, b = 8.8289 Å, c = 9.3673 Å
α = 90.00°, β = 115.11°, γ = 90.00°
Fractional positions:
Cs 0.8171 0.7500 0.0525
Cs 0.1829 0.2500 0.9475
Li 0.6907 0.7500 0.5481
Li 0.3093 0.2500 0.4519
Ge 0.3188 0.7500 0.3138
Ge 0.6812 0.2500 0.6862
I 0.8620 0.5081 0.7160
I 0.1380 0.0081 0.2840
I 0.1380 0.4919 0.2840
I 0.8620 0.9919 0.7160
I 0.5592 0.7500 0.2287
I 0.4408 0.2500 0.7713
I 0.4688 0.7500 0.6326
I 0.5312 0.2500 0.3674

Symmetry   P2_1/m, No. 11
Crystal system   monoclinic
Formation energy from raw total energies   -0.8702 eV/atom
Magnetic moment   0.00 μB/f.u.
Total DFT energy (no corrections)   -2.811 eV per atom
DOS(E_F)   0.000 states/eV/f.u.


No. 13
This record from Alexandria describes a relaxed structure of La2Mg2Zr. The functional is GGA-PBE.

a = 4.2494 Å, b = 4.2494 Å, c = 8.4967 Å
α = 75.52°, β = 75.52°, γ = 90.00°
Fractional positions:
Mg 0.4142 0.4142 0.1716
Mg 0.5858 0.5858 0.8284
Zr 0.0000 0.0000 0.0000
La 0.7500 0.2500 0.5000
La 0.2500 0.7500 0.5000

Symmetry   I4/mmm, No. 139
Crystal system   tetragonal
Magnetic moment   0.01 μB/f.u.
Total DFT energy (no corrections)   -3.834 eV per atom
DOS(E_F)   7.914 states/eV/f.u.
Formation energy from the elements   2.4 eV per formula unit
Energy above the most stable polymorph in this dataset   255 meV per atom


No. 14
This record from Alexandria describes a relaxed structure of RuPtSN2. The functional is GGA-PBE.

a = 3.6600 Å, b = 3.6600 Å, c = 8.1362 Å
α = 90.00°, β = 90.00°, γ = 90.00°
Each line ends with the local moment (μB).
Fractional positions:
Ru 0.5000 0.5000 0.5000  2.13
S 0.0000 0.0000 0.5000  0.16
Pt 0.0000 0.0000 0.0000  0.00
N 0.0000 0.5000 0.0000  0.02
N 0.5000 0.0000 0.0000  0.02

Symmetry   P4/mmm, No. 123
Crystal system   tetragonal
Formation energy from raw total energies   1.4820 eV/atom
Magnetic moment   2.68 μB/f.u.
Total DFT energy (no corrections)   -5.737 eV per atom
DOS(E_F)   4.683 states/eV/f.u.
Energy above the most stable polymorph in this dataset   474 meV per atom


No. 15
This record from Alexandria describes a relaxed structure of NdCoRu. The functional is GGA-PBE.

a = 4.2312 Å, b = 4.0654 Å, c = 4.0654 Å
α = 120.00°, β = 90.00°, γ = 90.00°
Each line ends with the local moment (μB).
Fractional positions:
Ru 0.1666 0.3333 0.6667  0.65
Nd 0.6667 0.6667 0.3333  -0.08
Co 0.1667 0.0000 0.0000  1.16

Symmetry   P-6m2, No. 187
Crystal system   hexagonal
Magnetic moment   1.65 μB/f.u.
Total DFT energy (no corrections)   -7.091 eV per atom
DOS(E_F)   3.251 states/eV/f.u.
Formation energy from the elements   -0.1 eV per formula unit
Energy above the most stable polymorph in this dataset   58 meV per atom


No. 16
This record from Alexandria describes a relaxed structure of PrPaPdPt. The functional is GGA-PBE.

a = 5.0505 Å, b = 5.0505 Å, c = 5.0505 Å
α = 60.00°, β = 60.00°, γ = 60.00°
Each line ends with the local moment (μB).
Fractional positions:
Pr 0.5000 0.5000 0.5000  0.07
Pa 0.0000 0.0000 0.0000  0.72
Pd 0.2500 0.2500 0.2500  -0.02
Pt 0.7500 0.7500 0.7500  -0.02

Symmetry   F-43m, No. 216
Crystal system   cubic
Magnetic moment   0.92 μB/f.u.
Total DFT energy (no corrections)   -7.003 eV per atom
DOS(E_F)   6.800 states/eV/f.u.
Formation energy from the elements   -2.5 eV per formula unit


No. 17
This record from Alexandria describes a relaxed structure of NaPa6Se8. The functional is GGA-PBE.

a = 7.8897 Å, b = 7.8897 Å, c = 7.8897 Å
α = 94.04°, β = 94.04°, γ = 94.04°
Each line ends with the local moment (μB).
Fractional positions:
Na 0.0000 0.0000 0.0000  0.01
Pa 0.5898 0.4398 0.7873  1.21
Pa 0.4398 0.7873 0.5898  1.21
Pa 0.7873 0.5898 0.4398  1.21
Pa 0.4102 0.5602 0.2127  1.21
Pa 0.5602 0.2127 0.4102  1.21
Pa 0.2127 0.4102 0.5602  1.21
Se 0.7694 0.7694 0.7694  -0.02
Se 0.2306 0.2306 0.2306  -0.02
Se 0.6298 0.8737 0.2884  -0.02
Se 0.8737 0.2884 0.6298  -0.02
Se 0.2884 0.6298 0.8737  -0.02
Se 0.3702 0.1263 0.7116  -0.02
Se 0.1263 0.7116 0.3702  -0.02
Se 0.7116 0.3702 0.1263  -0.02

Symmetry   R-3, No. 148
Crystal system   trigonal
Formation energy from raw total energies   -0.9524 eV/atom
Magnetic moment   8.67 μB/f.u.
Total DFT energy (no corrections)   -6.697 eV per atom
DOS(E_F)   16.024 states/eV/f.u.
Energy above the most stable polymorph in this dataset   302 meV per atom


No. 18
This record from Alexandria describes a relaxed structure of BaTl3Pt. The functional is GGA-PBE.

a = 6.3451 Å, b = 6.3451 Å, c = 6.3451 Å
α = 90.00°, β = 90.00°, γ = 90.00°
Fractional positions:
Tl 0.0000 0.5000 0.0000
Tl 0.0000 0.0000 0.5000
Tl 0.5000 0.0000 0.0000
Ba 0.0000 0.0000 0.0000
Pt 0.5000 0.5000 0.5000

Symmetry   Pm-3m, No. 221
Crystal system   cubic
Magnetic moment   0.00 μB/f.u.
Total DFT energy (no corrections)   -1.787 eV per atom
DOS(E_F)   5.967 states/eV/f.u.
Formation energy from the elements   6.1 eV per formula unit


No. 19
This record from Alexandria describes a relaxed structure of SrAc8Sm6. The functional is GGA-PBE.

a = 9.2793 Å, b = 9.2793 Å, c = 9.2793 Å
α = 67.09°, β = 67.09°, γ = 67.09°
Fractional positions:
Sr 0.0000 0.0000 0.0000
Ac 0.1860 0.5790 0.8616
Ac 0.1384 0.8140 0.4210
Ac 0.4210 0.1384 0.8140
Ac 0.7340 0.7340 0.7340
Ac 0.2660 0.2660 0.2660
Ac 0.5790 0.8616 0.1860
Ac 0.8616 0.1860 0.5790
Ac 0.8140 0.4210 0.1384
Sm 0.0687 0.3766 0.6691
Sm 0.3309 0.9313 0.6234
Sm 0.6234 0.3309 0.9313
Sm 0.3766 0.6691 0.0687
Sm 0.6691 0.0687 0.3766
Sm 0.9313 0.6234 0.3309

Symmetry   R-3, No. 148
Crystal system   trigonal
Magnetic moment   0.00 μB/f.u.
Total DFT energy (no corrections)   -3.937 eV per atom
DOS(E_F)   23.035 states/eV/f.u.
Formation energy from the elements   3.8 eV per formula unit


No. 20
This record from Alexandria describes a relaxed structure of NaLiAl2I8. The functional is GGA-PBE.

a = 7.4268 Å, b = 7.4268 Å, c = 10.4609 Å
α = 90.00°, β = 90.00°, γ = 120.00°
Fractional positions:
Na 0.0000 0.0000 0.0000
Li 0.0000 0.0000 0.5000
Al 0.6667 0.3333 0.2498
Al 0.3333 0.6667 0.7502
I 0.3333 0.6667 0.9950
I 0.3266 0.3154 0.3211
I 0.6846 0.0112 0.3211
I 0.6667 0.3333 0.0050
I 0.3154 0.9888 0.6789
I 0.6734 0.6846 0.6789
I 0.0112 0.3266 0.6789
I 0.9888 0.6734 0.3211

Symmetry   P-3, No. 147
Crystal system   trigonal
Formation energy from raw total energies   -0.8071 eV/atom
Magnetic moment   0.00 μB/f.u.
Total DFT energy (no corrections)   -2.734 eV per atom
DOS(E_F)   0.000 states/eV/f.u.